Computed, not measured: crystalline BeFeCu2 at its relaxed geometry at the PBE level of DFT.

Properties
**Formation energy**: 0.0994 eV per atom
**Symmetry**: P4/mmm, No. 123
**DFT total energy**: -19.984 eV/cell
**Fermi-level density of states**: 3.068 states/eV/f.u.

Lattice parameters (Å, degrees): 3.4251 3.4251 3.7142 90.00 90.00 90.00
Element x y z (fractional)
Be (0.0000, 0.0000, 0.0000)
Fe (0.5000, 0.5000, 0.0000)
Cu (0.0000, 0.5000, 0.5000)
Cu (0.5000, 0.0000, 0.5000)



Computed, not measured: crystalline Na2AlB2Pt5 at its relaxed geometry at the PBE level of DFT.

Properties
**Formation energy**: -0.4891 eV per atom
**Symmetry**: P4/mbm, No. 127
**DFT total energy**: -109.660 eV/cell
**Fermi-level density of states**: 1.809 states/eV/f.u.

Lattice parameters (Å, degrees): 10.0485 10.0485 2.8223 90.00 90.00 90.00
Element x y z (fractional)
Na (0.1816, 0.3184, 0.0000)
Na (0.3184, 0.8184, 0.0000)
Na (0.6816, 0.1816, 0.0000)
Na (0.8184, 0.6816, 0.0000)
Al (0.0000, 0.0000, 0.0000)
Al (0.5000, 0.5000, 0.0000)
B (0.1257, 0.6257, 0.0000)
B (0.3743, 0.1257, 0.0000)
B (0.6257, 0.8743, 0.0000)
B (0.8743, 0.3743, 0.0000)
Pt (0.0000, 0.5000, 0.5000)
Pt (0.0603, 0.7817, 0.5000)
Pt (0.2183, 0.0603, 0.5000)
Pt (0.2817, 0.5603, 0.5000)
Pt (0.4397, 0.2817, 0.5000)
Pt (0.5000, 0.0000, 0.5000)
Pt (0.5603, 0.7183, 0.5000)
Pt (0.7183, 0.4397, 0.5000)
Pt (0.7817, 0.9397, 0.5000)
Pt (0.9397, 0.2183, 0.5000)



Computed, not measured: crystalline PrSm6Er2Tm at its relaxed geometry at the PBE level of DFT.

Properties
**Formation energy**: 0.1172 eV per atom
**Symmetry**: C2/c, No. 15
**DFT total energy**: -91.038 eV/cell
**Fermi-level density of states**: 14.286 states/eV/f.u.

Lattice parameters (Å, degrees): 8.8840 8.8840 9.5588 93.30 93.30 117.12
Element x y z (fractional)
Pr (0.0291, 0.9709, 0.7500)
Pr (0.9709, 0.0291, 0.2500)
Sm (0.0084, 0.5598, 0.6849)
Sm (0.1187, 0.7585, 0.0554)
Sm (0.2415, 0.8813, 0.4446)
Sm (0.2924, 0.5142, 0.8833)
Sm (0.4402, 0.9916, 0.8151)
Sm (0.4858, 0.7076, 0.6167)
Sm (0.5142, 0.2924, 0.3833)
Sm (0.5598, 0.0084, 0.1849)
Sm (0.7076, 0.4858, 0.1167)
Sm (0.7585, 0.1187, 0.5554)
Sm (0.8813, 0.2415, 0.9446)
Sm (0.9916, 0.4402, 0.3151)
Er (0.2038, 0.3045, 0.5488)
Er (0.3045, 0.2038, 0.0488)
Er (0.6955, 0.7962, 0.9512)
Er (0.7962, 0.6955, 0.4512)
Tm (0.4115, 0.5885, 0.2500)
Tm (0.5885, 0.4115, 0.7500)



Computed, not measured: crystalline ReAsW2 at its relaxed geometry at the PBE level of DFT.

Properties
**Formation energy**: 0.3105 eV per atom
**Symmetry**: P2/m, No. 10
**DFT total energy**: -41.762 eV/cell
**Fermi-level density of states**: 2.166 states/eV/f.u.

Lattice parameters (Å, degrees): 2.8990 4.1616 5.1776 90.00 90.20 90.00
Element x y z (fractional)
Re (0.0000, 0.0000, 0.0000)
As (0.0000, 0.0000, 0.5000)
W (0.4999, 0.5000, 0.2487)
W (0.5001, 0.5000, 0.7513)



Computed, not measured: crystalline La2BrCl at its relaxed geometry at the PBE level of DFT.

Properties
**Formation energy without anion corrections**: -1.138 eV per atom
**Symmetry**: I-4m2, No. 119
**DFT total energy**: -35.855 eV/cell
**Energy relative to the lowest polymorph listed for this composition**: 1.13 eV per formula unit
**Fermi-level density of states**: 3.522 states/eV/f.u.

Lattice parameters (Å, degrees): 4.2029 4.2029 14.0169 90.00 90.00 90.00
Element x y z (fractional)
La (0.0000, 0.0000, 0.0000)
La (0.0000, 0.5000, 0.2500)
La (0.5000, 0.0000, 0.7500)
La (0.5000, 0.5000, 0.5000)
Br (0.0000, 0.5000, 0.7500)
Br (0.5000, 0.0000, 0.2500)
Cl (0.0000, 0.0000, 0.5000)
Cl (0.5000, 0.5000, 0.0000)



Computed, not measured: crystalline PmPrSi2Pd5 at its relaxed geometry at the PBE level of DFT.

Properties
**Formation energy without anion corrections**: -0.878 eV per atom
**Symmetry**: P4/mmm, No. 123
**DFT total energy**: -54.245 eV/cell
**Fermi-level density of states**: 2.753 states/eV/f.u.

Lattice parameters (Å, degrees): 4.2579 4.2579 9.0665 90.00 90.00 90.00
Element x y z (fractional)
Pm (0.0000, 0.0000, 0.0000)
Pr (0.0000, 0.0000, 0.5000)
Si (0.5000, 0.5000, 0.1322)
Si (0.5000, 0.5000, 0.8678)
Pd (0.0000, 0.5000, 0.2647)
Pd (0.0000, 0.5000, 0.7353)
Pd (0.5000, 0.0000, 0.2647)
Pd (0.5000, 0.0000, 0.7353)
Pd (0.5000, 0.5000, 0.5000)



Computed, not measured: crystalline KAgSe at its relaxed geometry at the PBE level of DFT.

Properties
**Formation energy without anion corrections**: -0.392 eV per atom
**Symmetry**: Fmm2, No. 42
**DFT total energy**: -34.438 eV/cell
**Fermi-level density of states**: 0.599 states/eV/f.u.

Lattice parameters (Å, degrees): 4.9619 6.6963 11.1887 90.00 90.00 90.00
Element x y z (fractional)
K (0.0000, 0.0000, 0.0000)
K (0.0000, 0.5000, 0.5000)
K (0.5000, 0.0000, 0.5000)
K (0.5000, 0.5000, 0.0000)
Ag (0.0000, 0.0000, 0.7260)
Ag (0.0000, 0.5000, 0.2260)
Ag (0.5000, 0.0000, 0.2260)
Ag (0.5000, 0.5000, 0.7260)
Se (0.0000, 0.0000, 0.2909)
Se (0.0000, 0.5000, 0.7909)
Se (0.5000, 0.0000, 0.7909)
Se (0.5000, 0.5000, 0.2909)



Computed, not measured: crystalline YZn2Cu at its relaxed geometry at the PBE level of DFT.

Properties
**Formation energy**: -0.2580 eV per atom
**Symmetry**: I-4m2, No. 119
**DFT total energy**: -28.281 eV/cell
**Fermi-level density of states**: 1.801 states/eV/f.u.

Lattice parameters (Å, degrees): 4.6099 4.6099 6.6024 90.00 90.00 90.00
Element x y z (fractional)
Y (0.0000, 0.0000, 0.0000)
Y (0.5000, 0.5000, 0.5000)
Zn (0.0000, 0.0000, 0.5000)
Zn (0.0000, 0.5000, 0.2500)
Zn (0.5000, 0.0000, 0.7500)
Zn (0.5000, 0.5000, 0.0000)
Cu (0.0000, 0.5000, 0.7500)
Cu (0.5000, 0.0000, 0.2500)



Computed, not measured: crystalline MgPtAu3 at its relaxed geometry at the PBE level of DFT.

Properties
**Formation energy**: -0.2253 eV per atom
**Symmetry**: P2_1/c, No. 14
**DFT total energy**: -74.376 eV/cell
**Energy relative to the lowest polymorph listed for this composition**: 0.00 eV per formula unit
**Fermi-level density of states**: 1.664 states/eV/f.u.

Lattice parameters (Å, degrees): 6.2145 5.5675 11.4699 90.00 105.86 90.00
Element x y z (fractional)
Mg (0.2325, 0.0967, 0.2487)
Mg (0.2325, 0.4033, 0.7487)
Mg (0.7675, 0.5967, 0.2513)
Mg (0.7675, 0.9033, 0.7513)
Pt (0.4977, 0.5650, 0.6172)
Pt (0.4977, 0.9350, 0.1172)
Pt (0.5023, 0.0650, 0.8828)
Pt (0.5023, 0.4350, 0.3828)
Au (0.1787, 0.7471, 0.9133)
Au (0.1787, 0.7529, 0.4133)
Au (0.1873, 0.2459, 0.4857)
Au (0.1873, 0.2541, 0.9857)
Au (0.2128, 0.5968, 0.1756)
Au (0.2128, 0.9032, 0.6756)
Au (0.7872, 0.0968, 0.3244)
Au (0.7872, 0.4032, 0.8244)
Au (0.8127, 0.7459, 0.0143)
Au (0.8127, 0.7541, 0.5143)
Au (0.8213, 0.2471, 0.5867)
Au (0.8213, 0.2529, 0.0867)



Computed, not measured: crystalline RbC3Se at its relaxed geometry at the PBE level of DFT.

Properties
**Formation energy without anion corrections**: 4.293 eV per atom
**Symmetry**: Pm-3m, No. 221
**DFT total energy**: -10.658 eV/cell
**Energy relative to the lowest polymorph listed for this composition**: 7.33 eV per formula unit
**Fermi-level density of states**: 6.655 states/eV/f.u.

Lattice parameters (Å, degrees): 5.4210 5.4210 5.4210 90.00 90.00 90.00
Element x y z (fractional)
Rb (0.0000, 0.0000, 0.0000)
C (0.0000, 0.0000, 0.5000)
C (0.0000, 0.5000, 0.0000)
C (0.5000, 0.0000, 0.0000)
Se (0.5000, 0.5000, 0.5000)



Computed, not measured: crystalline DyTlInPb at its relaxed geometry at the PBE level of DFT.

Properties
**Formation energy**: -0.1181 eV per atom
**Symmetry**: F-43m, No. 216
**DFT total energy**: -55.550 eV/cell
**Energy relative to the lowest polymorph listed for this composition**: 0.71 eV per formula unit
**Fermi-level density of states**: 1.649 states/eV/f.u.

Lattice parameters (Å, degrees): 7.7162 7.7162 7.7162 90.00 90.00 90.00
Element x y z (fractional)
Dy (0.0000, 0.0000, 0.0000)
Dy (0.0000, 0.5000, 0.5000)
Dy (0.5000, 0.0000, 0.5000)
Dy (0.5000, 0.5000, 0.0000)
Tl (0.2500, 0.2500, 0.7500)
Tl (0.2500, 0.7500, 0.2500)
Tl (0.7500, 0.2500, 0.2500)
Tl (0.7500, 0.7500, 0.7500)
In (0.2500, 0.2500, 0.2500)
In (0.2500, 0.7500, 0.7500)
In (0.7500, 0.2500, 0.7500)
In (0.7500, 0.7500, 0.2500)
Pb (0.0000, 0.0000, 0.5000)
Pb (0.0000, 0.5000, 0.0000)
Pb (0.5000, 0.0000, 0.0000)
Pb (0.5000, 0.5000, 0.5000)



Computed, not measured: crystalline KRbHg2I6 at its relaxed geometry at the PBE level of DFT.

Properties
**Formation energy without anion corrections**: -0.761 eV per atom
**Symmetry**: R3, No. 146
**DFT total energy**: -19.583 eV/cell
**Fermi-level density of states**: 0.000 states/eV/f.u.

Lattice parameters (Å, degrees): 10.0707 10.0707 10.0707 49.36 49.36 49.36
Element x y z (fractional)
K (0.0000, 0.0000, 0.0000)
Rb (0.5002, 0.5002, 0.5002)
Hg (0.2368, 0.2368, 0.2368)
Hg (0.7311, 0.7311, 0.7311)
I (0.0791, 0.6746, 0.4296)
I (0.1631, 0.5889, 0.9439)
I (0.4296, 0.0791, 0.6746)
I (0.5889, 0.9439, 0.1631)
I (0.6746, 0.4296, 0.0791)
I (0.9439, 0.1631, 0.5889)



> Look up the DFT total energy of the tenth one.

-10.658 eV/cell